Record 1
Computed, not measured: UMn2Cu after structural relaxation at the PBE-GGA level of DFT.

Formation energy from the elements = 8.0 kJ per mole of atoms
ρ = 11.94 g/cm3
Symmetry = P4/mmm
Calculated total energy = -8.348 eV/atom
Total magnetic moment = 2.4 μB per formula unit

```
UMn2Cu
1.0
4.053 0.000 0.000
0.000 4.053 0.000
0.000 0.000 3.485
U Mn Cu
1 2 1
direct
0.000 0.000 0.000
0.000 0.500 0.500
0.500 0.000 0.500
0.500 0.500 0.000
```

Record 2
Computed, not measured: K2ThHgS4 after structural relaxation at the PBE-GGA level of DFT.

ρ = 4.77 g/cm3
Symmetry = P2/m
Calculated total energy = -4.559 eV/atom
Total magnetic moment = 0.0 μB per formula unit

```
K2ThHgS4
1.0
7.313 0.000 0.000
0.000 4.124 0.000
-2.838 0.000 7.377
K Th Hg S
2 1 1 4
direct
0.000 0.000 0.000
0.500 0.500 0.000
0.000 0.500 0.500
0.500 0.000 0.500
0.210 0.000 0.723
0.267 0.500 0.312
0.733 0.500 0.688
0.790 0.000 0.277
```

Record 3
Computed, not measured: Ce3MgB2N6 after structural relaxation at the PBE-GGA level of DFT.

ρ = 5.93 g/cm3
Symmetry = P-3m1
Calculated total energy = -8.034 eV/atom
Total magnetic moment = 2.0 μB per formula unit

```
Ce3MgB2N6
1.0
5.435 0.000 0.000
-2.718 4.707 0.000
0.000 0.000 6.027
Ce Mg B N
3 1 2 6
direct
0.000 0.000 0.000
0.333 0.667 0.668
0.667 0.333 0.332
0.000 0.000 0.500
0.333 0.667 0.246
0.667 0.333 0.754
0.180 0.360 0.275
0.180 0.820 0.275
0.360 0.180 0.725
0.640 0.820 0.275
0.820 0.180 0.725
0.820 0.640 0.725
```

Record 4
Computed, not measured: Mg3TeN after structural relaxation at the PBE-GGA level of DFT.

ρ = 4.04 g/cm3
Symmetry = Pm-3m
E above lowest polymorph = 0.000 eV per atom
Calculated total energy = -3.768 eV/atom
Total magnetic moment = 0.0 μB per formula unit

```
Mg3TeN
1.0
4.452 0.000 0.000
0.000 4.452 0.000
0.000 0.000 4.452
Mg Te N
3 1 1
direct
0.000 0.000 0.500
0.000 0.500 0.000
0.500 0.000 0.000
0.500 0.500 0.500
0.000 0.000 0.000
```

Record 5
Computed, not measured: LiHf4H10 after structural relaxation at the PBE-GGA level of DFT.

ρ = 9.54 g/cm3
Symmetry = I4/m
Calculated total energy = -5.517 eV/atom
Total magnetic moment = 0.0 μB per formula unit

```
LiHf4H10
1.0
-3.691 3.691 2.334
3.691 -3.691 2.334
3.691 3.691 -2.334
Li Hf H
1 4 10
direct
0.000 0.000 0.000
0.203 0.598 0.801
0.402 0.203 0.605
0.598 0.797 0.395
0.797 0.402 0.199
0.049 0.148 0.700
0.148 0.448 0.099
0.250 0.750 0.500
0.349 0.049 0.901
0.448 0.349 0.300
0.552 0.651 0.700
0.651 0.951 0.099
0.750 0.250 0.500
0.852 0.552 0.901
0.951 0.852 0.300
```

Record 6
Computed, not measured: YClF3 after structural relaxation at the PBE-GGA level of DFT.

ρ = 3.68 g/cm3
Symmetry = Pm-3m
E above lowest polymorph = 1.979 eV per atom
Calculated total energy = -3.757 eV/atom
Total magnetic moment = 0.5 μB per formula unit

```
YClF3
1.0
4.342 0.000 0.000
0.000 4.342 0.000
0.000 0.000 4.342
Y Cl F
1 1 3
direct
0.000 0.000 0.000
0.500 0.500 0.500
0.000 0.500 0.500
0.500 0.000 0.500
0.500 0.500 0.000
```

Record 7
Computed, not measured: SiPbI2O after structural relaxation at the PBE-GGA level of DFT.

ρ = 6.60 g/cm3
Symmetry = P4/mmm
E above lowest polymorph = 0.000 eV per atom
Calculated total energy = -3.874 eV/atom
Total magnetic moment = 0.0 μB per formula unit

```
SiPbI2O
1.0
5.911 0.000 0.000
0.000 5.911 0.000
0.000 0.000 3.637
Si Pb I O
1 1 2 1
direct
0.000 0.000 0.000
0.500 0.500 0.500
0.000 0.500 0.000
0.500 0.000 0.000
0.000 0.000 0.500
```

Record 8
Computed, not measured: Ta2NbV9 after structural relaxation at the PBE-GGA level of DFT.

Formation energy from the elements = 8.0 kJ per mole of atoms
ρ = 8.38 g/cm3
Symmetry = R-3m
Calculated total energy = -9.571 eV/atom
Total magnetic moment = 0.0 μB per formula unit

```
Ta2NbV9
1.0
2.568 1.483 7.927
-2.568 1.483 7.927
0.000 -2.965 7.927
Ta Nb V
2 1 9
direct
0.145 0.145 0.145
0.855 0.855 0.855
0.000 0.000 0.000
0.081 0.584 0.584
0.333 0.333 0.333
0.416 0.416 0.919
0.416 0.919 0.416
0.500 0.500 0.500
0.584 0.081 0.584
0.584 0.584 0.081
0.667 0.667 0.667
0.919 0.416 0.416
```

Record 9
Computed, not measured: Ho4Th2Sc3 after structural relaxation at the PBE-GGA level of DFT.

Formation energy from the elements = 4.0 kJ per mole of atoms
ρ = 7.91 g/cm3
Symmetry = P-1
Calculated total energy = -5.752 eV/atom
Total magnetic moment = 0.0 μB per formula unit

```
Ho4Th2Sc3
1.0
6.054 0.000 0.000
0.034 8.929 0.000
2.991 3.403 9.781
Ho Th Sc
8 4 6
direct
0.005 0.422 0.165
0.119 0.365 0.609
0.332 0.914 0.168
0.448 0.696 0.943
0.552 0.304 0.057
0.668 0.086 0.832
0.881 0.635 0.391
0.995 0.578 0.835
0.210 0.968 0.723
0.337 0.760 0.507
0.663 0.240 0.493
0.790 0.032 0.277
0.110 0.191 0.944
0.211 0.146 0.389
0.450 0.529 0.275
0.550 0.471 0.725
0.789 0.854 0.611
0.890 0.809 0.056
```

Record 10
Computed, not measured: Nd7BBr12 after structural relaxation at the PBE-GGA level of DFT.

ρ = 4.92 g/cm3
Symmetry = R-3
Calculated total energy = -4.608 eV/atom
Total magnetic moment = 0.0 μB per formula unit

```
Nd7BBr12
1.0
7.533 4.349 3.396
-7.533 4.349 3.396
0.000 -8.698 3.396
Nd B Br
7 1 12
direct
0.000 0.000 0.000
0.187 0.467 0.393
0.393 0.187 0.467
0.467 0.393 0.187
0.533 0.607 0.813
0.607 0.813 0.533
0.813 0.533 0.607
0.500 0.500 0.500
0.028 0.111 0.344
0.111 0.344 0.028
0.188 0.578 0.727
0.273 0.812 0.422
0.344 0.028 0.111
0.422 0.273 0.812
0.578 0.727 0.188
0.656 0.972 0.889
0.727 0.188 0.578
0.812 0.422 0.273
0.889 0.656 0.972
0.972 0.889 0.656
```

Record 11
Computed, not measured: Sm2TlAg after structural relaxation at the PBE-GGA level of DFT.

Formation energy from the elements = -31.2 kJ per mole of atoms
ρ = 9.33 g/cm3
Symmetry = P4/mmm
E above lowest polymorph = 0.002 eV per atom
Calculated total energy = -3.988 eV/atom
Total magnetic moment = 0.1 μB per formula unit

```
Sm2TlAg
1.0
3.715 0.000 0.000
0.000 3.715 0.000
0.000 0.000 7.903
Sm Tl Ag
2 1 1
direct
0.000 0.000 0.235
0.000 0.000 0.765
0.500 0.500 0.500
0.500 0.500 0.000
```

Question: Number 10 is which compound?
Answer: Nd7BBr12

Question: What is the calculated total energy in the second record?
Answer: -4.559 eV/atom